Density functional theory data (GGA-PBE) for a geometry-optimized ReSiMo3 structure.

Values from the calculation:
space-group type: Pm-3m, No. 221
crystal system: cubic
theoretical density: 9.701 g/cm3
ΔE to the lowest computed polymorph: 0 meV per atom
energy: -44.51 eV per formula unit
magnetization: 0.000 μB per formula unit

a = 4.4131 Å, b = 4.4131 Å, c = 4.4131 Å
α = 90.00°, β = 90.00°, γ = 90.00°
Last column: nearest neighbours and their distance in Å.
Atoms (fractional coordinates):
1 Re 0.0000 0.0000 0.0000  12 Mo 3.12
2 Si 0.5000 0.5000 0.5000  6 Mo 2.21
3 Mo 0.0000 0.5000 0.5000  2 Si 2.21
4 Mo 0.5000 0.0000 0.5000  2 Si 2.21
5 Mo 0.5000 0.5000 0.0000  2 Si 2.21